Compound: BaNbSn
Source: the Alexandria database
Functional: PBE
Structure: relaxed

Properties
- Theoretical density: 6.13 g cm⁻³
- Size of the total moment: 0.00 μB per atom
- Symmetry: Cm
- DFT formation energy: 0.71 kcal/mol of atoms

Cell lengths 3.871, 3.871, 12.625 Å; angles 90.11, 90.11, 89.99 degrees
Element x y z (fractional)
Ba 0.000 0.000 0.000
Ba 0.505 0.505 0.689
Nb 0.002 0.002 0.290
Nb 0.003 0.003 0.488
Sn 0.501 0.501 0.182
Sn 0.503 0.503 0.421